# 1
DFT (PBEsol) results for a relaxed structure of Y2InNi.

Cell and atoms, written as CIF:
```
data_Y2InNi
_symmetry_space_group_name_H-M 'P 4/m m m'
_symmetry_Int_Tables_number 123
_symmetry_space_group_name_Hall '-P 4 2'
_cell_length_a 3.3953
_cell_length_b 3.3953
_cell_length_c 7.6144
_cell_angle_alpha 90.00
_cell_angle_beta 90.00
_cell_angle_gamma 90.00
loop_
_atom_site_label
_atom_site_fract_x
_atom_site_fract_y
_atom_site_fract_z
Y1 0.0000 0.0000 0.2119
In1 0.5000 0.5000 0.5000
Ni1 0.5000 0.5000 0.0000
```

Summary:
The formation enthalpy at 0 K is -463 meV per atom. For the magnetization, the calculation gives 0.000 μB/f.u. For the density of states at the Fermi level, the calculation gives 2.3 states/eV/cell. For the calculated total energy, the calculation gives -0.226 Ha/atom.


# 2
DFT (PBEsol) results for a relaxed structure of YInNi.

Cell and atoms, written as CIF:
```
data_YInNi
_symmetry_space_group_name_H-M 'P -6 2 m'
_symmetry_Int_Tables_number 189
_symmetry_space_group_name_Hall 'P -6 -2'
_cell_length_a 7.3178
_cell_length_b 7.3178
_cell_length_c 3.7652
_cell_angle_alpha 90.00
_cell_angle_beta 90.00
_cell_angle_gamma 120.00
loop_
_atom_site_label
_atom_site_fract_x
_atom_site_fract_y
_atom_site_fract_z
Y1 0.0000 0.4111 0.0000
In1 0.0000 0.7464 0.5000
Ni1 0.0000 0.0000 0.0000
Ni2 0.3333 0.6667 0.5000
```

Summary:
The formation enthalpy at 0 K is -548 meV per atom. For the magnetization, the calculation gives 0.000 μB/f.u. For the density of states at the Fermi level, the calculation gives 7.4 states/eV/cell. For the calculated total energy, the calculation gives -0.216 Ha/atom.


# 3
DFT (PBEsol) results for a relaxed structure of YInNi2.

Cell and atoms, written as CIF:
```
data_YInNi2
_symmetry_space_group_name_H-M 'A m m 2'
_symmetry_Int_Tables_number 38
_cell_length_a 3.8601
_cell_length_b 3.7427
_cell_length_c 9.5207
_cell_angle_alpha 90.00
_cell_angle_beta 90.00
_cell_angle_gamma 90.00
loop_
_symmetry_equiv_pos_as_xyz
'x,y,z'
'-x,-y,z'
'-x,y,z'
'x,-y,z'
'x,y+1/2,z+1/2'
'-x,-y+1/2,z+1/2'
'-x,y+1/2,z+1/2'
'x,-y+1/2,z+1/2'
loop_
_atom_site_label
_atom_site_fract_x
_atom_site_fract_y
_atom_site_fract_z
Y1 0.0000 0.0000 0.0000
In1 0.5000 0.0000 0.2922
Ni1 0.0000 0.0000 0.7196
Ni2 0.5000 0.0000 0.5772
```

Summary:
The formation enthalpy at 0 K is -393 meV per atom. For the magnetization, the calculation gives 0.000 μB/f.u. For the density of states at the Fermi level, the calculation gives 3.4 states/eV/cell. For the calculated total energy, the calculation gives -0.218 Ha/atom.